1.
Below is a geometry-optimized La2Tb2Ho5 structure, with properties calculated at the PBE-GGA level.

Formation energy from the elements: 0.214 eV per atom
Size of the total moment: 0.01 Bohr magnetons per cell
Symmetry: No. 12

Unit cell a=3.4936 b=8.2905 c=12.5548 alpha=120.22 beta=98.00 gamma=90.00
Element x y z (fractional)
Ho 0.3092 0.1522 0.6184
Ho 0.0000 0.0000 0.0000
Ho 0.9043 0.5407 0.8086
Ho 0.6908 0.8478 0.3816
Ho 0.0957 0.4593 0.1914
Tb 0.5463 0.7357 0.0926
Tb 0.4537 0.2643 0.9074
La 0.8194 0.7820 0.6389
La 0.1805 0.2180 0.3611


2.
Below is a geometry-optimized KCdICl2 structure, with properties calculated at the PBE-GGA level.

Size of the total moment: 0.00 Bohr magnetons per cell
Formation energy from raw total energies: -1.202 eV per atom
Symmetry: No. 123

Unit cell a=5.2702 b=5.2702 c=5.9859 alpha=90.00 beta=90.00 gamma=90.00
Element x y z (fractional)
K 0.5000 0.5000 0.5000
I 0.0000 0.0000 0.5000
Cl 0.0000 0.5000 0.0000
Cl 0.5000 0.0000 0.0000
Cd 0.0000 0.0000 0.0000


Number 1: energy above the lowest structure with this stoichiometry 8 meV per atom. Number 2: energy above the lowest structure with this stoichiometry 51 meV per atom.